Entry 1:
A plane-wave DFT calculation with GGA-PBE was carried out for an optimized crystal structure of HfTiVNi.

* E: -8.265 eV/atom

Unit cell a=6.2953 b=6.2953 c=6.2953 alpha=90.00 beta=90.00 gamma=90.00
Space group F-43m (No. 216)
Inequivalent atoms, fractional coordinates:
Hf 0.0000 0.0000 0.0000 x4
Ti 0.0000 0.0000 0.5000 x4
V 0.2500 0.2500 0.2500 x4
Ni 0.2500 0.2500 0.7500 x4

=====

Entry 2:
A plane-wave DFT calculation with GGA-PBE was carried out for an optimized crystal structure of HfTiNiW.

* E: -9.285 eV/atom

Unit cell a=6.3586 b=6.3586 c=6.3586 alpha=90.00 beta=90.00 gamma=90.00
Space group F-43m (No. 216)
Inequivalent atoms, fractional coordinates:
Hf 0.0000 0.0000 0.0000 x4
Ti 0.0000 0.0000 0.5000 x4
Ni 0.2500 0.2500 0.7500 x4
W 0.2500 0.2500 0.2500 x4

=====

Entry 3:
A plane-wave DFT calculation with GGA-PBE was carried out for an optimized crystal structure of Hf2TiNiW.

* E: -8.118 eV/atom

Unit cell a=5.0592 b=5.0592 c=4.6277 alpha=90.00 beta=90.00 gamma=90.00
Space group P4/mmm (No. 123)
Inequivalent atoms, fractional coordinates:
Hf 0.0000 0.5000 0.0000 x2
Ti 0.0000 0.0000 0.5000 x1
Ni 0.5000 0.5000 0.5000 x1
W 0.0000 0.0000 0.0000 x1

=====

Entry 4:
A plane-wave DFT calculation with GGA-PBE was carried out for an optimized crystal structure of HfTiZnNi.

* E: -6.441 eV/atom

Unit cell a=6.3498 b=6.3498 c=6.3498 alpha=90.00 beta=90.00 gamma=90.00
Space group F-43m (No. 216)
Inequivalent atoms, fractional coordinates:
Hf 0.0000 0.0000 0.0000 x4
Ti 0.0000 0.0000 0.5000 x4
Zn 0.2500 0.2500 0.2500 x4
Ni 0.2500 0.2500 0.7500 x4

=====

Entry 5:
A plane-wave DFT calculation with GGA-PBE was carried out for an optimized crystal structure of Hf2ZrTiNi.

* E: -7.191 eV/atom

Unit cell a=5.0782 b=5.0782 c=4.4764 alpha=90.00 beta=90.00 gamma=90.00
Space group P4/mmm (No. 123)
Inequivalent atoms, fractional coordinates:
Hf 0.0000 0.5000 0.0000 x2
Zr 0.0000 0.0000 0.0000 x1
Ti 0.5000 0.5000 0.5000 x1
Ni 0.0000 0.0000 0.5000 x1

=====

Entry 6:
A plane-wave DFT calculation with GGA-PBE was carried out for an optimized crystal structure of Hf2TlNi.

* E: -6.944 eV/atom
* distance to the lowest polymorph of the same formula: 0.187 eV/atom

Unit cell a=6.7757 b=6.7757 c=6.7757 alpha=90.00 beta=90.00 gamma=90.00
Space group Fm-3m (No. 225)
Inequivalent atoms, fractional coordinates:
Hf 0.2500 0.2500 0.2500 x8
Tl 0.0000 0.0000 0.0000 x4
Ni 0.0000 0.0000 0.5000 x4

=====

Please write out number 1 again, unchanged.
A plane-wave DFT calculation with GGA-PBE was carried out for an optimized crystal structure of HfTiVNi.

* E: -8.265 eV/atom

Unit cell a=6.2953 b=6.2953 c=6.2953 alpha=90.00 beta=90.00 gamma=90.00
Space group F-43m (No. 216)
Inequivalent atoms, fractional coordinates:
Hf 0.0000 0.0000 0.0000 x4
Ti 0.0000 0.0000 0.5000 x4
V 0.2500 0.2500 0.2500 x4
Ni 0.2500 0.2500 0.7500 x4

=====

> Which value of E does entry 3 give?

-8.118 eV/atom

=====

> Look up the E of the third one.

-8.118 eV/atom

=====

What did the second record say?
A plane-wave DFT calculation with GGA-PBE was carried out for an optimized crystal structure of HfTiNiW.

* E: -9.285 eV/atom

Unit cell a=6.3586 b=6.3586 c=6.3586 alpha=90.00 beta=90.00 gamma=90.00
Space group F-43m (No. 216)
Inequivalent atoms, fractional coordinates:
Hf 0.0000 0.0000 0.0000 x4
Ti 0.0000 0.0000 0.5000 x4
Ni 0.2500 0.2500 0.7500 x4
W 0.2500 0.2500 0.2500 x4